Entry 1:
The following is a SCAN calculation of a PBEsol-optimized structure of NaLa2Pb2, from Alexandria.

density	7.26	g/cm³
formation energy	-660.2	meV/atom
raw total energy	-49.058	eV/atom

POSCAR file:
```
NaLa2Pb2
1.0
3.7652 0.0000 0.0000
0.0000 9.3237 0.0000
0.0000 0.0000 9.3237
Pb Na La
4 2 4
Cartesian
0.0000 3.1064 7.7682
0.0000 7.7682 6.2174
0.0000 6.2174 1.5555
0.0000 1.5555 3.1064
0.0000 0.0000 0.0000
0.0000 4.6619 4.6619
1.8826 1.2459 5.9078
1.8826 5.9078 8.0778
1.8826 8.0778 3.4159
1.8826 3.4159 1.2459
```



Entry 2:
The following is a SCAN calculation of a PBEsol-optimized structure of Li5Ni2P3O12, from Alexandria.

density	3.20	g/cm³
excess energy over the best structure of this formula in the dataset	6	meV/atom
raw total energy	-9.176	eV/atom
ΔE_f (raw)	-2345	meV/atom

POSCAR file:
```
Li5Ni2P3O12
1.0
-7.4078 3.1962 1.2951
-5.1840 1.0614 -6.2550
-7.1382 -5.7484 -0.5275
Li Ni P O
10 4 6 24
Cartesian
-7.7845 1.0704 -5.4897
-11.1577 3.1466 -3.1577
-7.2887 1.9415 -0.9137
-11.7619 0.9304 -2.3041
-7.7238 -0.4969 -0.8480
-12.0062 -0.9940 -4.6394
-7.9681 -2.4213 -3.1834
-12.4413 -3.4324 -4.5737
-8.5723 -4.6375 -2.3297
-11.9455 -2.5613 0.0023
-8.5099 2.5697 -3.2973
-5.8296 -2.6736 -1.0167
-13.9004 1.1827 -4.4707
-11.2201 -4.0606 -2.1901
-10.1624 1.8348 -0.5069
-10.7562 1.4080 -5.3823
-6.4489 -0.0199 -3.2121
-13.2811 -1.4710 -2.2753
-8.9738 -2.8989 -0.1052
-9.5676 -3.3257 -4.9805
-2.8698 0.0357 -1.1051
-10.0383 2.0500 -2.0448
-9.4092 1.3574 -4.6588
-5.5717 1.4641 -0.2249
-5.0119 0.5966 -3.1587
-11.3829 0.9422 -0.3293
-11.8622 1.7624 -4.3355
-5.9721 -0.9972 0.2389
-7.4609 0.9421 -2.5445
-6.7668 -0.2780 -4.6930
-6.5666 -1.3490 -2.4325
-8.8482 1.1709 0.0145
-10.8818 -2.6618 -5.5019
-13.1634 -0.1419 -3.0549
-12.9632 -1.2129 -0.7944
-12.2691 -2.4330 -2.9429
-13.7579 -0.4937 -5.7263
-7.8678 -3.2533 -1.1519
-8.3471 -2.4331 -5.1581
-14.7181 -2.0875 -2.3287
-14.1583 -2.9550 -5.2625
-10.3208 -2.8483 -0.8286
-9.6917 -3.5409 -3.4426
-16.8602 -1.5266 -4.3823
```



Entry 3:
The following is a SCAN calculation of a PBEsol-optimized structure of Cd2CoSb, from Alexandria.

density	8.75	g/cm³
raw total energy	-28.657	eV/atom
ΔE_f (raw)	191	meV/atom

POSCAR file:
```
Cd2CoSb
1.0
2.9427 0.0000 0.0000
0.0000 4.0536 0.0000
-1.4714 -2.0268 6.4552
Sb Co Cd
1 1 2
Cartesian
0.0000 2.0268 0.0000
1.4714 0.0000 0.0000
1.4714 2.0268 4.0526
0.0000 0.0000 2.4026
```



Entry 4:
The following is a SCAN calculation of a PBEsol-optimized structure of LiZnP2, from Alexandria.

density	3.77	g/cm³
formation energy	-36.8	meV/atom
raw total energy	-9.212	eV/atom

POSCAR file:
```
LiZnP2
1.0
3.4131 0.0000 0.0000
0.0000 3.4131 0.0000
0.0000 0.0000 5.0815
Li P Zn
1 2 1
Cartesian
1.7066 1.7066 2.5407
0.0000 0.0000 3.5996
0.0000 0.0000 1.4818
1.7066 1.7066 0.0000
```



Entry 5:
The following is a SCAN calculation of a PBEsol-optimized structure of CsLiScF2, from Alexandria.

density	4.02	g/cm³
raw total energy	-13.208	eV/atom
ΔE_f (raw)	-905	meV/atom

POSCAR file:
```
CsLiScF2
1.0
-3.0553 -2.4863 -1.5253
1.7612 -3.3332 1.9056
-2.8413 0.9072 4.2128
Cs Sc Li F
1 1 1 2
Cartesian
-1.4207 0.4536 2.1064
-2.0677 -2.4562 2.2966
0.0000 0.0000 0.0000
0.8806 -1.6666 0.9528
-1.5277 -1.2432 -0.7626
```



Entry 6:
The following is a SCAN calculation of a PBEsol-optimized structure of SrGe3H, from Alexandria.

density	2.76	g/cm³
raw total energy	-14.820	eV/atom

POSCAR file:
```
SrGe3H
1.0
5.6953 0.0000 0.0000
0.0000 5.6953 0.0000
0.0000 0.0000 5.6953
Sr Ge H
1 3 1
Cartesian
0.0000 0.0000 0.0000
0.0000 2.8477 0.0000
0.0000 0.0000 2.8477
2.8477 0.0000 0.0000
2.8477 2.8477 2.8477
```



Number 1: DOS at the Fermi energy 0.64 states/eV/atom. Number 2: DOS at the Fermi energy 0.00 states/eV/atom. Number 3: DOS at the Fermi energy 0.63 states/eV/atom. Number 4: DOS at the Fermi energy 0.19 states/eV/atom. Number 5: DOS at the Fermi energy 0.64 states/eV/atom. Number 6: DOS at the Fermi energy 1.02 states/eV/atom.